First-principles (PBE-GGA) data for a relaxed Ag2BiPdF crystal, as listed in Alexandria.

As for the formation energy (no corrections): -0.073 eV/atom. Its total magnetic moment is 0.000 μB per formula unit.

The structure belongs to space group P4/mmm (No. 123); the cell edges are 4.548, 4.548 and 4.946 Å and the angles 90.00°, 90.00° and 90.00°. The distinct sites, in fractional coordinates, are Ag at (0.000, 0.500, 0.000), Bi at (0.000, 0.000, 0.500), Pd at (0.500, 0.500, 0.500) and F at (0.000, 0.000, 0.000).